Here is an optimized crystal structure of LiP2Pt from Alexandria. Energies are from PBE.

Cell and atoms, written as POSCAR:
```
LiP2Pt
1.0
0.000 3.071 3.071
3.071 0.000 3.071
3.071 3.071 0.000
Pt P Li
1 2 1
direct
0.500 0.500 0.500
0.250 0.250 0.250
0.750 0.750 0.750
0.000 0.000 0.000
```

Excess energy over the best structure of this formula in the dataset in eV/f.u.: 1.09
Energy of formation from the pure elements in eV per atom: -0.186
Crystal system: cubic
E in eV per formula unit: -19.519
Volume in Å³/cell: 57.9

***

Here is an optimized crystal structure of LiP2Pt from Alexandria. Energies are from PBE.

Cell and atoms, written as POSCAR:
```
LiP2Pt
1.0
-4.018 4.034 -2.260
-4.932 3.399 1.285
-2.145 5.718 0.472
Pt P Li
1 2 1
direct
0.250 0.250 0.250
0.983 0.983 0.983
0.517 0.517 0.517
0.750 0.750 0.750
```

Excess energy over the best structure of this formula in the dataset in eV/f.u.: 0.33
Energy of formation from the pure elements in eV per atom: -0.376
Crystal system: trigonal
E in eV per formula unit: -20.278
Volume in Å³/cell: 68.6

***

Here is an optimized crystal structure of Li2P2Pt5 from Alexandria. Energies are from PBE.

Cell and atoms, written as POSCAR:
```
Li2P2Pt5
1.0
-3.859 -3.126 0.516
-1.317 0.066 4.368
-6.345 4.036 2.560
Pt P Li
5 2 2
direct
0.064 0.351 0.371
0.566 0.847 0.356
0.000 0.000 0.000
0.434 0.153 0.644
0.936 0.649 0.629
0.843 0.064 0.739
0.157 0.936 0.261
0.649 0.521 0.135
0.351 0.479 0.865
```

Energy of formation from the pure elements in eV per atom: -0.553
Crystal system: triclinic
E in eV per formula unit: -49.833
Volume in Å³/cell: 141.0

***

Here is an optimized crystal structure of LiPPt2 from Alexandria. Energies are from PBE.

Cell and atoms, written as POSCAR:
```
LiPPt2
1.0
3.160 0.000 0.000
0.000 3.160 0.000
0.000 0.000 5.568
Li Pt P
1 2 1
direct
0.500 0.500 0.250
0.000 0.000 0.502
0.000 0.000 0.998
0.500 0.500 0.750
```

Energy of formation from the pure elements in eV per atom: -0.341
Crystal system: tetragonal
E in eV per formula unit: -20.768
Volume in Å³/cell: 55.6

***

Here is an optimized crystal structure of LiP2Pt from Alexandria. Energies are from PBE.

Cell and atoms, written as POSCAR:
```
LiP2Pt
1.0
5.402 -0.030 -0.376
4.054 3.570 -0.376
0.888 0.332 4.198
Pt P Li
1 2 1
direct
0.417 0.417 0.475
0.982 0.982 0.163
0.865 0.865 0.785
0.236 0.236 0.077
```

Excess energy over the best structure of this formula in the dataset in eV/f.u.: 0.03
Energy of formation from the pure elements in eV per atom: -0.451
Crystal system: monoclinic
E in eV per formula unit: -20.580
Volume in Å³/cell: 82.8

***

Here is an optimized crystal structure of LiPPt2 from Alexandria. Energies are from PBE.

Cell and atoms, written as POSCAR:
```
LiPPt2
1.0
-3.698 0.183 2.313
-2.568 -3.519 0.293
-0.319 -2.161 3.780
P Pt Li
1 2 1
direct
0.750 0.750 0.750
0.000 0.000 0.000
0.250 0.250 0.250
0.500 0.500 0.500
```

Energy of formation from the pure elements in eV per atom: -0.148
Crystal system: cubic
E in eV per formula unit: -19.997
Volume in Å³/cell: 58.9

***

Here is an optimized crystal structure of LiPPt from Alexandria. Energies are from PBE.

Cell and atoms, written as POSCAR:
```
LiPPt
1.0
-0.049 2.179 3.325
-2.823 -0.606 2.733
0.933 -1.670 3.485
P Li Pt
1 1 1
direct
0.750 0.750 0.750
0.500 0.500 0.500
0.000 0.000 0.000
```

Energy of formation from the pure elements in eV per atom: -0.579
Crystal system: cubic
E in eV per formula unit: -15.101
Volume in Å³/cell: 44.4

***

Here is an optimized crystal structure of LiP2Pt from Alexandria. Energies are from PBE.

Cell and atoms, written as POSCAR:
```
LiP2Pt
1.0
5.826 0.000 0.000
0.000 5.826 0.000
2.913 2.913 5.005
Li P Pt
2 4 2
direct
0.500 0.500 0.000
0.250 0.750 0.500
0.083 0.625 0.250
0.875 0.917 0.750
0.375 0.333 0.750
0.667 0.125 0.250
0.750 0.250 0.500
0.000 0.000 0.000
```

Excess energy over the best structure of this formula in the dataset in eV/f.u.: 1.34
Energy of formation from the pure elements in eV per atom: -0.125
Crystal system: tetragonal
E in eV per formula unit: -19.274
Volume in Å³/cell: 169.9

***

Here is an optimized crystal structure of Li3PPt3 from Alexandria. Energies are from PBE.

Cell and atoms, written as POSCAR:
```
Li3PPt3
1.0
4.970 1.069 1.702
0.072 7.277 -3.708
2.161 -0.265 7.045
Pt Li P
6 6 2
direct
0.764 0.331 0.401
0.732 0.578 0.885
0.772 0.035 0.799
0.236 0.669 0.599
0.228 0.965 0.201
0.268 0.422 0.115
0.306 0.298 0.374
0.760 0.954 0.149
0.802 0.403 0.076
0.240 0.046 0.851
0.694 0.702 0.626
0.198 0.597 0.924
0.762 0.244 0.658
0.238 0.756 0.342
```

Energy of formation from the pure elements in eV per atom: -0.574
Crystal system: triclinic
E in eV per formula unit: -33.291
Volume in Å³/cell: 214.0

***

Here is an optimized crystal structure of Li2PPt2 from Alexandria. Energies are from PBE.

Cell and atoms, written as POSCAR:
```
Li2PPt2
1.0
6.128 0.000 0.000
0.000 6.128 0.000
0.000 0.000 4.215
P Pt Li
2 4 4
direct
0.000 0.000 0.000
0.500 0.500 0.000
0.158 0.342 0.000
0.342 0.842 0.000
0.658 0.158 0.000
0.842 0.658 0.000
0.843 0.343 0.500
0.343 0.157 0.500
0.657 0.843 0.500
0.157 0.657 0.500
```

Excess energy over the best structure of this formula in the dataset in eV/f.u.: 0.65
Energy of formation from the pure elements in eV per atom: -0.552
Crystal system: tetragonal
E in eV per formula unit: -24.081
Volume in Å³/cell: 158.3

***

Here is an optimized crystal structure of LiPPt4 from Alexandria. Energies are from PBE.

Cell and atoms, written as POSCAR:
```
LiPPt4
1.0
5.028 0.000 2.380
-0.580 7.401 1.225
0.358 1.338 5.744
P Pt Li
2 8 2
direct
0.441 0.200 0.119
0.559 0.800 0.881
0.756 0.761 0.488
0.656 0.579 0.202
0.242 0.000 0.000
0.857 0.421 0.798
0.143 0.579 0.202
0.244 0.239 0.512
0.758 0.000 0.000
0.344 0.421 0.798
0.815 0.198 0.370
0.185 0.802 0.630
```

Excess energy over the best structure of this formula in the dataset in eV/f.u.: 0.00
Energy of formation from the pure elements in eV per atom: -0.444
Crystal system: monoclinic
E in eV per formula unit: -34.154
Volume in Å³/cell: 197.4

***

Here is an optimized crystal structure of LiPPt2 from Alexandria. Energies are from PBE.

Cell and atoms, written as POSCAR:
```
LiPPt2
1.0
-1.873 2.865 3.893
4.525 -2.877 4.293
4.473 4.884 -1.442
Pt Li P
8 4 4
direct
0.642 0.049 0.669
0.142 0.951 0.831
0.142 0.549 0.831
0.858 0.451 0.169
0.642 0.451 0.669
0.358 0.549 0.331
0.858 0.049 0.169
0.358 0.951 0.331
0.414 0.250 0.001
0.086 0.250 0.501
0.914 0.750 0.499
0.586 0.750 0.999
0.922 0.250 0.871
0.578 0.250 0.371
0.422 0.750 0.629
0.078 0.750 0.129
```

Energy of formation from the pure elements in eV per atom: -0.624
Crystal system: orthorhombic
E in eV per formula unit: -21.900
Volume in Å³/cell: 241.3